VASP calculation (GGA-PBEsol) on a relaxed NaCrSiBr2 crystal.

```
NaCrSiBr2
1.0
5.076 0.000 0.000
0.000 5.076 0.000
0.000 0.000 5.391
Na Cr Si Br
1 1 1 2
direct
0.000 0.000 0.000
0.000 0.000 0.500
0.500 0.500 0.500
0.000 0.500 0.000
0.500 0.000 0.000
```

Summary:
As for the total energy: -3.427 eV per atom. The density is 3.14 g/cm³. As for the space-group type: P4/mmm (123).